No. 1
# Cd2ReS | Alexandria via LeMat-Bulk | PBE-GGA | optimized geometry
data_Cd2ReS
_chemical_formula_sum 'Cd8 Re4 S4'
_symmetry_space_group_name_H-M 'I -4 2 d'
_symmetry_Int_Tables_number 122
_symmetry_space_group_name_Hall 'I -4 2bw'
_cell_length_a 8.9362
_cell_length_b 8.9362
_cell_length_c 4.4347
_cell_angle_alpha 90.00
_cell_angle_beta 90.00
_cell_angle_gamma 90.00
loop_
_atom_site_label
_atom_site_fract_x
_atom_site_fract_y
_atom_site_fract_z
Cd1 0.1549 0.2500 0.1250
Re1 0.0000 0.0000 0.5000
S1 0.0000 0.0000 0.0000
# ΔE_f (raw) = 0.792 eV per atom
# volume = 354.1 Å³/cell
# total moment = 1.7 Bohr magnetons per cell
# total energy = -3.81 eV/atom

No. 2
# CdRe2S | Alexandria via LeMat-Bulk | PBE-GGA | optimized geometry
data_CdRe2S
_chemical_formula_sum 'Cd4 Re8 S4'
_symmetry_space_group_name_H-M 'F m -3 m'
_symmetry_Int_Tables_number 225
_symmetry_space_group_name_Hall '-F 4 2 3'
_cell_length_a 6.2547
_cell_length_b 6.2547
_cell_length_c 6.2547
_cell_angle_alpha 90.00
_cell_angle_beta 90.00
_cell_angle_gamma 90.00
loop_
_atom_site_label
_atom_site_fract_x
_atom_site_fract_y
_atom_site_fract_z
Cd1 0.0000 0.0000 0.0000
Re1 0.2500 0.2500 0.2500
S1 0.0000 0.0000 0.5000
# energy relative to the lowest polymorph listed for this composition = 285 meV/atom
# ΔE_f (raw) = 1.100 eV per atom
# volume = 244.7 Å³/cell
# total moment = 0.0 Bohr magnetons per cell
# total energy = -6.38 eV/atom

No. 3
# CdRe2S | Alexandria via LeMat-Bulk | PBE-GGA | optimized geometry
data_CdRe2S
_chemical_formula_sum 'Cd4 Re8 S4'
_symmetry_space_group_name_H-M 'I -4 2 d'
_symmetry_Int_Tables_number 122
_symmetry_space_group_name_Hall 'I -4 2bw'
_cell_length_a 4.1601
_cell_length_b 4.1601
_cell_length_c 17.2738
_cell_angle_alpha 90.00
_cell_angle_beta 90.00
_cell_angle_gamma 90.00
loop_
_atom_site_label
_atom_site_fract_x
_atom_site_fract_y
_atom_site_fract_z
Cd1 0.0000 0.0000 0.0000
Re1 0.1558 0.2500 0.6250
S1 0.0000 0.0000 0.5000
# energy relative to the lowest polymorph listed for this composition = 0 meV/atom
# ΔE_f (raw) = 0.816 eV per atom
# volume = 299.0 Å³/cell
# total moment = 0.0 Bohr magnetons per cell
# total energy = -6.67 eV/atom

No. 4
# CdRe3S | Alexandria via LeMat-Bulk | PBE-GGA | optimized geometry
data_CdRe3S
_chemical_formula_sum 'Cd1 Re3 S1'
_symmetry_space_group_name_H-M 'P m -3 m'
_symmetry_Int_Tables_number 221
_symmetry_space_group_name_Hall '-P 4 2 3'
_cell_length_a 4.3979
_cell_length_b 4.3979
_cell_length_c 4.3979
_cell_angle_alpha 90.00
_cell_angle_beta 90.00
_cell_angle_gamma 90.00
loop_
_atom_site_label
_atom_site_fract_x
_atom_site_fract_y
_atom_site_fract_z
Cd1 0.0000 0.0000 0.0000
Re1 0.0000 0.5000 0.5000
S1 0.5000 0.5000 0.5000
# energy relative to the lowest polymorph listed for this composition = 0 meV/atom
# ΔE_f (raw) = 0.979 eV per atom
# volume = 85.1 Å³/cell
# total moment = 0.0 Bohr magnetons per cell
# total energy = -7.50 eV/atom

Which of these has the highest total energy?
Cd2ReS

total energy of number 2 (CdRe2S)?
-6.38 eV/atom

Look up the volume of the second one.
244.7 Å³/cell